DFT (PBE-GGA) results for Ba4LiAu after structural relaxation.

Geometry as POSCAR:
```
Ba4LiAu
1.0
5.8243 0.0000 0.0000
0.0000 5.8243 0.0000
0.0000 0.0000 8.3817
Ba Li Au
4 1 1
Direct
0.0000 0.5000 0.2330
0.0000 0.5000 0.7670
0.5000 0.0000 0.2330
0.5000 0.0000 0.7670
0.0000 0.0000 0.5000
0.5000 0.5000 0.0000
```

**N(E_F)**: 6.63 states/eV/f.u.
**Symmetry**: P4/mmm
**Mass density**: 4399 kg/m³
**Energy**: -2.29 eV per atom
**ΔE to the lowest computed polymorph**: 36.4 meV per atom

DFT (PBE-GGA) results for BaLiAu2 after structural relaxation.

Geometry as POSCAR:
```
BaLiAu2
1.0
2.3266 1.3433 5.6077
-2.3266 1.3433 5.6077
0.0000 -2.6866 5.6077
Ba Li Au
1 1 2
Direct
0.0000 0.0000 0.0000
0.5000 0.5000 0.5000
0.2053 0.2053 0.2053
0.7947 0.7947 0.7947
```

**N(E_F)**: 2.03 states/eV/f.u.
**Symmetry**: R-3m
**Mass density**: 8499 kg/m³
**Energy**: -3.25 eV per atom
**ΔE to the lowest computed polymorph**: 0.0 meV per atom

DFT (PBE-GGA) results for Ba3Li4Au3 after structural relaxation.

Geometry as POSCAR:
```
Ba3Li4Au3
1.0
-5.3726 5.3726 5.3726
5.3726 -5.3726 5.3726
5.3726 5.3726 -5.3726
Ba Li Au
6 8 6
Direct
0.1250 0.7500 0.8750
0.2500 0.6250 0.3750
0.3750 0.2500 0.6250
0.6250 0.3750 0.2500
0.7500 0.8750 0.1250
0.8750 0.1250 0.7500
0.0000 0.3478 0.5000
0.0000 0.8478 0.5000
0.1522 0.1522 0.1522
0.3478 0.5000 0.0000
0.5000 0.0000 0.3478
0.5000 0.0000 0.8478
0.6522 0.6522 0.6522
0.8478 0.5000 0.0000
0.1250 0.8750 0.2500
0.2500 0.1250 0.8750
0.3750 0.6250 0.7500
0.6250 0.7500 0.3750
0.7500 0.3750 0.6250
0.8750 0.2500 0.1250
```

**N(E_F)**: 6.23 states/eV/f.u.
**Symmetry**: I-43d
**Mass density**: 5518 kg/m³
**Energy**: -2.73 eV per atom

DFT (PBE-GGA) results for Ba4LiAu2 after structural relaxation.

Geometry as POSCAR:
```
Ba4LiAu2
1.0
2.4113 1.3922 16.2843
-2.4113 1.3922 16.2843
0.0000 -2.7843 16.2843
Ba Li Au
4 1 2
Direct
0.1137 0.1137 0.1137
0.2925 0.2925 0.2925
0.7075 0.7075 0.7075
0.8863 0.8863 0.8863
0.5000 0.5000 0.5000
0.4107 0.4107 0.4107
0.5893 0.5893 0.5893
```

**N(E_F)**: 6.02 states/eV/f.u.
**Symmetry**: R-3m
**Mass density**: 4810 kg/m³
**Energy**: -2.69 eV per atom

DFT (PBE-GGA) results for Ba8Li2Au after structural relaxation.

Geometry as POSCAR:
```
Ba8Li2Au
1.0
10.8997 -3.1200 0.0000
10.8997 3.1200 0.0000
-2.3841 0.0000 7.8964
Ba Li Au
8 2 1
Direct
0.0240 0.0240 0.2961
0.2078 0.2078 0.8097
0.3499 0.3499 0.5294
0.4118 0.4118 0.0817
0.5882 0.5882 0.9183
0.6501 0.6501 0.4706
0.7922 0.7922 0.1903
0.9760 0.9760 0.7039
0.1828 0.1828 0.2260
0.8172 0.8172 0.7740
0.5000 0.5000 0.5000
```

**N(E_F)**: 12.84 states/eV/f.u.
**Symmetry**: C2/m
**Mass density**: 4049 kg/m³
**Energy**: -2.14 eV per atom

DFT (PBE-GGA) results for Ba3Li6Au5 after structural relaxation.

Geometry as POSCAR:
```
Ba3Li6Au5
1.0
4.4673 0.0000 0.0000
0.0000 13.4861 0.0000
0.0000 0.0000 11.5223
Ba Li Au
6 12 10
Direct
0.2500 0.0912 0.2475
0.2500 0.4088 0.2475
0.2500 0.7500 0.2462
0.7500 0.2500 0.7538
0.7500 0.5912 0.7525
0.7500 0.9088 0.7525
0.2500 0.0542 0.9209
0.2500 0.2500 0.0034
0.2500 0.2500 0.5115
0.2500 0.4458 0.9209
0.2500 0.5775 0.4946
0.2500 0.9225 0.4946
0.7500 0.0775 0.5054
0.7500 0.4225 0.5054
0.7500 0.5542 0.0791
0.7500 0.7500 0.4885
0.7500 0.7500 0.9966
0.7500 0.9458 0.0791
0.2500 0.0782 0.6504
0.2500 0.4218 0.6504
0.2500 0.6403 0.9807
0.2500 0.7500 0.6127
0.2500 0.8597 0.9807
0.7500 0.1403 0.0193
0.7500 0.2500 0.3873
0.7500 0.3597 0.0193
0.7500 0.5782 0.3496
0.7500 0.9218 0.3496
```

**N(E_F)**: 5.11 states/eV/f.u.
**Symmetry**: Pmmn
**Mass density**: 6882 kg/m³
**Energy**: -2.92 eV per atom

DFT (PBE-GGA) results for BaLiAu2 after structural relaxation.

Geometry as POSCAR:
```
BaLiAu2
1.0
3.9690 0.0000 0.0000
0.0000 4.0456 0.0000
0.0000 0.0000 6.7227
Ba Li Au
1 1 2
Direct
0.0000 0.0000 0.0000
0.5000 0.5000 0.3985
0.0000 0.0000 0.4913
0.5000 0.5000 0.7711
```

**N(E_F)**: 2.29 states/eV/f.u.
**Symmetry**: Pmm2
**Mass density**: 8279 kg/m³
**Energy**: -2.97 eV per atom
**ΔE to the lowest computed polymorph**: 278.0 meV per atom

DFT (PBE-GGA) results for Ba2Li17Au3 after structural relaxation.

Geometry as POSCAR:
```
Ba2Li17Au3
1.0
5.4780 3.1627 5.1711
-5.4780 3.1627 5.1711
0.0000 -6.3254 5.1711
Ba Li Au
2 17 3
Direct
0.1634 0.1634 0.1634
0.8366 0.8366 0.8366
0.0000 0.5000 0.5000
0.1698 0.1698 0.6590
0.1698 0.6590 0.1698
0.2341 0.5000 0.7659
0.2341 0.7659 0.5000
0.3410 0.8302 0.8302
0.4093 0.4093 0.4093
0.5000 0.0000 0.5000
0.5000 0.2341 0.7659
0.5000 0.5000 0.0000
0.5000 0.7659 0.2341
0.5907 0.5907 0.5907
0.6590 0.1698 0.1698
0.7659 0.2341 0.5000
0.7659 0.5000 0.2341
0.8302 0.3410 0.8302
0.8302 0.8302 0.3410
0.0000 0.0000 0.5000
0.0000 0.5000 0.0000
0.5000 0.0000 0.0000
```

**N(E_F)**: 11.14 states/eV/f.u.
**Symmetry**: R-3m
**Mass density**: 3038 kg/m³
**Energy**: -2.24 eV per atom